No. 1
ScCuPd3: optimized geometry, PBE.

The structure in CIF format:
```
data_ScCuPd3
_chemical_formula_sum 'Sc4 Cu4 Pd12'
_cell_length_a 6.666
_cell_length_b 7.094
_cell_length_c 6.902
_cell_angle_alpha 90.00
_cell_angle_beta 90.00
_cell_angle_gamma 90.00
_symmetry_space_group_name_H-M 'P n m a'
_symmetry_Int_Tables_number 62
loop_
_symmetry_equiv_pos_as_xyz
'x,y,z'
'-x,-y,-z'
'-x+1/2,-y,z+1/2'
'x+1/2,y,-z+1/2'
'x+1/2,-y+1/2,-z+1/2'
'-x+1/2,y+1/2,z+1/2'
'-x,y+1/2,-z'
'x,-y+1/2,z'
loop_
_atom_site_label
_atom_site_type_symbol
_atom_site_fract_x
_atom_site_fract_y
_atom_site_fract_z
Sc1 Sc 0.000 0.000 0.000
Cu1 Cu 0.186 0.250 0.427
Pd1 Pd 0.132 0.750 0.281
Pd2 Pd 0.136 0.556 0.645
```

Values from the calculation:
* total moment: 0.00 Bohr magnetons per cell
* mass density: 8706 kg/m³
* E_tot: -113.07 eV per cell
* ΔH_f (0 K): -452.2 meV/atom
* volume: 16.3 A^3/atom

=====

No. 2
Co2ReNiTe: optimized geometry, PBE.

The structure in CIF format:
```
data_Co2ReNiTe
_chemical_formula_sum 'Co2 Re1 Ni1 Te1'
_cell_length_a 4.269
_cell_length_b 4.269
_cell_length_c 4.645
_cell_angle_alpha 90.00
_cell_angle_beta 90.00
_cell_angle_gamma 90.00
_symmetry_space_group_name_H-M 'P 4/m m m'
_symmetry_Int_Tables_number 123
_symmetry_space_group_name_Hall '-P 4 2'
loop_
_atom_site_label
_atom_site_type_symbol
_atom_site_fract_x
_atom_site_fract_y
_atom_site_fract_z
Co1 Co 0.000 0.500 0.000
Re1 Re 0.000 0.000 0.500
Ni1 Ni 0.500 0.500 0.000
Te1 Te 0.500 0.500 0.500
```

Values from the calculation:
* total moment: 3.51 Bohr magnetons per cell
* mass density: 9619 kg/m³
* formation energy (no corrections): 142.7 kJ per mole of atoms
* E_tot: -28.19 eV per cell
* volume: 16.9 A^3/atom

=====

No. 3
CdReSbTe2: optimized geometry, PBE.

The structure in CIF format:
```
data_CdReSbTe2
_chemical_formula_sum 'Cd1 Re1 Sb1 Te2'
_cell_length_a 5.519
_cell_length_b 5.519
_cell_length_c 5.500
_cell_angle_alpha 90.00
_cell_angle_beta 90.00
_cell_angle_gamma 90.00
_symmetry_space_group_name_H-M 'P 4/m m m'
_symmetry_Int_Tables_number 123
_symmetry_space_group_name_Hall '-P 4 2'
loop_
_atom_site_label
_atom_site_type_symbol
_atom_site_fract_x
_atom_site_fract_y
_atom_site_fract_z
Cd1 Cd 0.000 0.000 0.000
Re1 Re 0.500 0.500 0.500
Sb1 Sb 0.000 0.000 0.500
Te1 Te 0.000 0.500 0.000
```

Values from the calculation:
* total moment: 3.98 Bohr magnetons per cell
* mass density: 6695 kg/m³
* formation energy (no corrections): 162.9 kJ per mole of atoms
* E_tot: -15.33 eV per cell
* volume: 33.5 A^3/atom

=====

No. 4
La3IrPd2: optimized geometry, PBE.

The structure in CIF format:
```
data_La3IrPd2
_chemical_formula_sum 'La12 Ir4 Pd8'
_cell_length_a 5.147
_cell_length_b 15.550
_cell_length_c 7.276
_cell_angle_alpha 90.00
_cell_angle_beta 90.00
_cell_angle_gamma 90.00
_symmetry_space_group_name_H-M 'C m m m'
_symmetry_Int_Tables_number 65
_symmetry_space_group_name_Hall '-C 2 2'
loop_
_atom_site_label
_atom_site_type_symbol
_atom_site_fract_x
_atom_site_fract_y
_atom_site_fract_z
La1 La 0.000 0.000 0.245
La2 La 0.000 0.329 0.238
Ir1 Ir 0.000 0.158 0.000
Pd1 Pd 0.000 0.167 0.500
Pd2 Pd 0.000 0.500 0.000
Pd3 Pd 0.000 0.500 0.500
```

Values from the calculation:
* total moment: 0.00 Bohr magnetons per cell
* mass density: 9373 kg/m³
* E_tot: -154.00 eV per cell
* ΔH_f (0 K): -745.1 meV/atom
* volume: 24.3 A^3/atom

=====

No. 5
NaCa2YCo: optimized geometry, PBE.

The structure in CIF format:
```
data_NaCa2YCo
_chemical_formula_sum 'Na1 Ca2 Y1 Co1'
_cell_length_a 5.602
_cell_length_b 5.602
_cell_length_c 5.139
_cell_angle_alpha 90.00
_cell_angle_beta 90.00
_cell_angle_gamma 90.00
_symmetry_space_group_name_H-M 'P 4/m m m'
_symmetry_Int_Tables_number 123
_symmetry_space_group_name_Hall '-P 4 2'
loop_
_atom_site_label
_atom_site_type_symbol
_atom_site_fract_x
_atom_site_fract_y
_atom_site_fract_z
Na1 Na 0.000 0.000 0.000
Ca1 Ca 0.000 0.500 0.500
Y1 Y 0.500 0.500 0.000
Co1 Co 0.500 0.500 0.500
```

Values from the calculation:
* total moment: 0.00 Bohr magnetons per cell
* mass density: 2584 kg/m³
* E_tot: -18.43 eV per cell
* ΔH_f (0 K): 93.4 meV/atom
* volume: 32.3 A^3/atom

=====

No. 6
TaCrW: optimized geometry, PBE.

The structure in CIF format:
```
data_TaCrW
_chemical_formula_sum 'Ta2 Cr2 W2'
_cell_length_a 3.118
_cell_length_b 3.118
_cell_length_c 9.455
_cell_angle_alpha 90.00
_cell_angle_beta 90.00
_cell_angle_gamma 90.00
_symmetry_space_group_name_H-M 'I 4 m m'
_symmetry_Int_Tables_number 107
_symmetry_space_group_name_Hall 'I 4 -2'
loop_
_atom_site_label
_atom_site_type_symbol
_atom_site_fract_x
_atom_site_fract_y
_atom_site_fract_z
Ta1 Ta 0.000 0.000 0.000
Cr1 Cr 0.000 0.000 0.665
W1 W 0.000 0.000 0.319
```

Values from the calculation:
* total moment: 0.00 Bohr magnetons per cell
* mass density: 15057 kg/m³
* E_tot: -69.05 eV per cell
* ΔH_f (0 K): -32.4 meV/atom
* volume: 15.3 A^3/atom

=====

No. 7
Dy3BiSe3: optimized geometry, PBE.

The structure in CIF format:
```
data_Dy3BiSe3
_chemical_formula_sum 'Dy18 Bi6 Se18'
_cell_length_a 8.2565
_cell_length_b 8.2565
_cell_length_c 21.7922
_cell_angle_alpha 90.00
_cell_angle_beta 90.00
_cell_angle_gamma 120.00
_symmetry_space_group_name_H-M 'R -3'
_symmetry_Int_Tables_number 148
_symmetry_space_group_name_Hall '-R 3'
loop_
_atom_site_label
_atom_site_type_symbol
_atom_site_fract_x
_atom_site_fract_y
_atom_site_fract_z
Dy1 Dy 0.0144 0.3920 0.4087
Bi1 Bi 0.0000 0.0000 0.1660
Se1 Se 0.0176 0.2798 0.6117
```

Values from the calculation:
* total moment: 0.00 Bohr magnetons per cell
* mass density: 7228 kg/m³
* formation energy (no corrections): -141.0 kJ per mole of atoms
* E_tot: -230.24 eV per cell
* volume: 30.6 A^3/atom

=====

No. 8
Cs3AlN: optimized geometry, PBE.

The structure in CIF format:
```
data_Cs3AlN
_chemical_formula_sum 'Cs3 Al1 N1'
_cell_length_a 6.066
_cell_length_b 6.066
_cell_length_c 6.066
_cell_angle_alpha 90.00
_cell_angle_beta 90.00
_cell_angle_gamma 90.00
_symmetry_space_group_name_H-M 'P m -3 m'
_symmetry_Int_Tables_number 221
_symmetry_space_group_name_Hall '-P 4 2 3'
loop_
_atom_site_label
_atom_site_type_symbol
_atom_site_fract_x
_atom_site_fract_y
_atom_site_fract_z
Cs1 Cs 0.000 0.000 0.500
Al1 Al 0.500 0.500 0.500
N1 N 0.000 0.000 0.000
```

Values from the calculation:
* total moment: 0.00 Bohr magnetons per cell
* mass density: 3271 kg/m³
* formation energy (no corrections): 79.5 kJ per mole of atoms
* E_tot: -10.51 eV per cell
* volume: 44.6 A^3/atom

=====

No. 9
Tl2Hg2S3: optimized geometry, PBE.

The structure in CIF format:
```
data_Tl2Hg2S3
_chemical_formula_sum 'Tl4 Hg4 S6'
_cell_length_a 15.156
_cell_length_b 4.380
_cell_length_c 6.892
_cell_angle_alpha 90.00
_cell_angle_beta 116.43
_cell_angle_gamma 90.00
_symmetry_space_group_name_H-M 'C 1 2/m 1'
_symmetry_Int_Tables_number 12
loop_
_symmetry_equiv_pos_as_xyz
'x,y,z'
'-x,-y,-z'
'-x,y,-z'
'x,-y,z'
'x+1/2,y+1/2,z'
'-x+1/2,-y+1/2,-z'
'-x+1/2,y+1/2,-z'
'x+1/2,-y+1/2,z'
loop_
_atom_site_label
_atom_site_type_symbol
_atom_site_fract_x
_atom_site_fract_y
_atom_site_fract_z
Tl1 Tl 0.081 0.000 0.304
Hg1 Hg 0.182 0.500 0.791
S1 S 0.000 0.500 0.500
S2 S 0.227 0.500 0.219
```

Values from the calculation:
* total moment: 0.00 Bohr magnetons per cell
* mass density: 7345 kg/m³
* formation energy (no corrections): -16.0 kJ per mole of atoms
* E_tot: -37.76 eV per cell
* volume: 29.3 A^3/atom

=====

No. 10
MnIn2Pb: optimized geometry, PBE.

The structure in CIF format:
```
data_MnIn2Pb
_chemical_formula_sum 'Mn2 In4 Pb2'
_cell_length_a 6.342
_cell_length_b 9.127
_cell_length_c 3.385
_cell_angle_alpha 90.00
_cell_angle_beta 90.00
_cell_angle_gamma 90.00
_symmetry_space_group_name_H-M 'C m m m'
_symmetry_Int_Tables_number 65
_symmetry_space_group_name_Hall '-C 2 2'
loop_
_atom_site_label
_atom_site_type_symbol
_atom_site_fract_x
_atom_site_fract_y
_atom_site_fract_z
Mn1 Mn 0.000 0.000 0.000
In1 In 0.250 0.250 0.500
Pb1 Pb 0.000 0.500 0.000
```

Values from the calculation:
* total moment: 8.19 Bohr magnetons per cell
* mass density: 8337 kg/m³
* E_tot: -34.28 eV per cell
* ΔH_f (0 K): 303.8 meV/atom
* volume: 24.5 A^3/atom